[1]
This record from the Alexandria database describes crystalline DyAl2Tc2B at its relaxed geometry. The functional is GGA-PBE.

Cell: 4.2551 4.2551 5.4642 Å, 90.00 90.00 90.00°
With the nearest neighbours (Å) after each atom.
Sites, in units of the cell vectors:
Dy (0.0000, 0.0000, 0.0000)  2 B 2.73
Al (0.5000, 0.5000, 0.2376)  4 Tc 2.57, 2 Al 2.60-2.87
Al (0.5000, 0.5000, 0.7624)  4 Tc 2.57, 2 Al 2.60-2.87
Tc (0.0000, 0.5000, 0.5000)  2 B 2.13
Tc (0.5000, 0.0000, 0.5000)  2 B 2.13
B (0.0000, 0.0000, 0.5000)  4 Tc 2.13

Values from the calculation:
**Total magnetic moment**: 0.00 Bohr magnetons per cell
**SG**: P4/mmm, No. 123
**Formation energy from the elements**: -2.764 eV per formula unit

[2]
This record from the Alexandria database describes crystalline ErAlB at its relaxed geometry. The functional is GGA-PBE.

Cell: 3.7533 3.7533 4.0242 Å, 90.00 90.00 120.00°
With the nearest neighbours (Å) after each atom.
Sites, in units of the cell vectors:
Er (0.0000, 0.0000, 0.0000)  6 Al 2.96, 6 B 2.96
Al (0.6667, 0.3333, 0.5000)  3 B 2.17
B (0.3333, 0.6667, 0.5000)  3 Al 2.17

Values from the calculation:
**Total magnetic moment**: 0.00 Bohr magnetons per cell
**SG**: P-6m2, No. 187
**Formation energy from the elements**: -1.138 eV per formula unit
**Excess energy over the best structure of this formula in the dataset**: 0.0 meV/atom

[3]
This record from the Alexandria database describes crystalline ErAlB at its relaxed geometry. The functional is GGA-PBE.

Cell: 5.8634 5.1436 4.9114 Å, 71.30 56.19 52.51°
With the nearest neighbours (Å) after each atom.
Sites, in units of the cell vectors:
Er (0.1837, 0.8163, 0.1837)  4 B 2.63, 1 Er 2.94
Er (0.8163, 0.1837, 0.8163)  4 B 2.63, 1 Er 2.94
Al (0.3222, 0.3222, 0.6778)  4 B 2.53
Al (0.6778, 0.6778, 0.3222)  4 B 2.53
B (0.2500, 0.2500, 0.2500)  4 Al 2.53, 4 Er 2.63
B (0.7500, 0.7500, 0.7500)  4 Al 2.53, 4 Er 2.63

Values from the calculation:
**Total magnetic moment**: 0.23 Bohr magnetons per cell
**SG**: Fmmm, No. 69
**Formation energy from the elements**: 0.433 eV per formula unit
**Excess energy over the best structure of this formula in the dataset**: 523.7 meV/atom

[4]
This record from the Alexandria database describes crystalline ErAlB4 at its relaxed geometry. The functional is GGA-PBE.

Cell: 5.9343 11.4995 3.5385 Å, 90.00 90.00 90.00°
With the nearest neighbours (Å) after each atom.
Sites, in units of the cell vectors:
Er (0.1292, 0.1499, 0.0000)  14 B 2.62-2.75
Er (0.3708, 0.6499, 0.0000)  14 B 2.62-2.75
Er (0.6292, 0.3501, 0.0000)  14 B 2.62-2.75
Er (0.8708, 0.8501, 0.0000)  14 B 2.62-2.75
Al (0.1381, 0.4101, 0.0000)  10 B 2.28-2.37
Al (0.3619, 0.9101, 0.0000)  10 B 2.28-2.37
Al (0.6381, 0.0899, 0.0000)  10 B 2.28-2.37
Al (0.8619, 0.5899, 0.0000)  10 B 2.28-2.37
B (0.0261, 0.6928, 0.5000)  3 B 1.75-1.88
B (0.1140, 0.5471, 0.5000)  3 B 1.73-1.75
B (0.1334, 0.9692, 0.5000)  3 B 1.73-1.86
B (0.2097, 0.8127, 0.5000)  3 B 1.76-1.88
B (0.2903, 0.3127, 0.5000)  3 B 1.76-1.88
B (0.3666, 0.4692, 0.5000)  3 B 1.73-1.86
B (0.3860, 0.0471, 0.5000)  3 B 1.73-1.75
B (0.4739, 0.1928, 0.5000)  3 B 1.75-1.88
B (0.5261, 0.8072, 0.5000)  3 B 1.75-1.88
B (0.6140, 0.9529, 0.5000)  3 B 1.73-1.75
B (0.6334, 0.5308, 0.5000)  3 B 1.73-1.86
B (0.7097, 0.6873, 0.5000)  3 B 1.76-1.88
B (0.7903, 0.1873, 0.5000)  3 B 1.76-1.88
B (0.8666, 0.0308, 0.5000)  3 B 1.73-1.86
B (0.8860, 0.4529, 0.5000)  3 B 1.73-1.75
B (0.9739, 0.3072, 0.5000)  3 B 1.75-1.88

Values from the calculation:
**Total magnetic moment**: 0.00 Bohr magnetons per cell
**SG**: Pbam, No. 55
**Formation energy from the elements**: -2.998 eV per formula unit

[5]
This record from the Alexandria database describes crystalline Er2AlFe5B2 at its relaxed geometry. The functional is GGA-PBE.

Cell: 8.9773 8.9773 3.1471 Å, 90.00 90.00 90.00°
With the nearest neighbours (Å) after each atom.
Sites, in units of the cell vectors:
Er (0.1779, 0.3221, 0.0000)  3 B 2.59-2.71, 10 Fe 2.75-2.84
Er (0.3221, 0.8221, 0.0000)  3 B 2.59-2.71, 10 Fe 2.75-2.84
Er (0.6779, 0.1779, 0.0000)  3 B 2.59-2.71, 10 Fe 2.75-2.84
Er (0.8221, 0.6779, 0.0000)  3 B 2.59-2.71, 10 Fe 2.75-2.84
Al (0.0000, 0.0000, 0.0000)  8 Fe 2.65
Al (0.5000, 0.5000, 0.0000)  8 Fe 2.65
Fe (0.0000, 0.5000, 0.5000)  4 B 2.18
Fe (0.0679, 0.7717, 0.5000)  2 B 2.14
Fe (0.2283, 0.0679, 0.5000)  2 B 2.14
Fe (0.2717, 0.5679, 0.5000)  2 B 2.14
Fe (0.4321, 0.2717, 0.5000)  2 B 2.14
Fe (0.5000, 0.0000, 0.5000)  4 B 2.18
Fe (0.5679, 0.7283, 0.5000)  2 B 2.14
Fe (0.7283, 0.4321, 0.5000)  2 B 2.14
Fe (0.7717, 0.9321, 0.5000)  2 B 2.14
Fe (0.9321, 0.2283, 0.5000)  2 B 2.14
B (0.1184, 0.6184, 0.0000)  6 Fe 2.14-2.18
B (0.3816, 0.1184, 0.0000)  6 Fe 2.14-2.18
B (0.6184, 0.8816, 0.0000)  6 Fe 2.14-2.18
B (0.8816, 0.3816, 0.0000)  6 Fe 2.14-2.18

Values from the calculation:
**Total magnetic moment**: 12.39 Bohr magnetons per cell
**SG**: P4/mbm, No. 127
**Formation energy from the elements**: -2.467 eV per formula unit

[6]
This record from the Alexandria database describes crystalline Er2AlB2Ir5 at its relaxed geometry. The functional is GGA-PBE.

Cell: 9.5868 9.5868 3.1256 Å, 90.00 90.00 90.00°
With the nearest neighbours (Å) after each atom.
Sites, in units of the cell vectors:
Er (0.1771, 0.3229, 0.0000)  3 B 2.72-2.92, 10 Ir 2.86-3.00
Er (0.3229, 0.8229, 0.0000)  3 B 2.72-2.92, 10 Ir 2.86-3.00
Er (0.6771, 0.1771, 0.0000)  3 B 2.72-2.92, 10 Ir 2.86-3.00
Er (0.8229, 0.6771, 0.0000)  3 B 2.72-2.92, 10 Ir 2.86-3.00
Al (0.0000, 0.0000, 0.0000)  8 Ir 2.69
Al (0.5000, 0.5000, 0.0000)  8 Ir 2.69
B (0.1221, 0.6221, 0.0000)  6 Ir 2.25-2.28
B (0.3779, 0.1221, 0.0000)  6 Ir 2.25-2.28
B (0.6221, 0.8779, 0.0000)  6 Ir 2.25-2.28
B (0.8779, 0.3779, 0.0000)  6 Ir 2.25-2.28
Ir (0.0000, 0.5000, 0.5000)  4 B 2.28
Ir (0.0682, 0.7816, 0.5000)  2 B 2.25
Ir (0.2184, 0.0682, 0.5000)  2 B 2.25
Ir (0.2816, 0.5682, 0.5000)  2 B 2.25
Ir (0.4318, 0.2816, 0.5000)  2 B 2.25
Ir (0.5000, 0.0000, 0.5000)  4 B 2.28
Ir (0.5682, 0.7184, 0.5000)  2 B 2.25
Ir (0.7184, 0.4318, 0.5000)  2 B 2.25
Ir (0.7816, 0.9318, 0.5000)  2 B 2.25
Ir (0.9318, 0.2184, 0.5000)  2 B 2.25

Values from the calculation:
**Total magnetic moment**: 0.00 Bohr magnetons per cell
**SG**: P4/mbm, No. 127
**Formation energy from the elements**: -8.433 eV per formula unit